Compound: ZnReHg2
Source: Alexandria via LeMat-Bulk
Functional: GGA-PBE
Structure: relaxed

Calculated values
- Total moment: 0.62 μB per formula unit
- Crystal system: tetragonal
- Electronic total energy: -2.78 eV/atom

Lattice parameters (Å, degrees): 5.385 5.385 5.385 136.74 136.74 62.84
Fractional coordinates of all 4 atoms:
Zn (0.000, 0.000, 0.000)
Re (0.500, 0.500, 0.000)
Hg (0.250, 0.750, 0.500)
Hg (0.750, 0.250, 0.500)

Compound: ZnRe4Hg
Source: Alexandria via LeMat-Bulk
Functional: GGA-PBE
Structure: relaxed

Calculated values
- Total moment: 0.00 μB per formula unit
- Crystal system: cubic
- Electronic total energy: -7.81 eV/atom

Lattice parameters (Å, degrees): 5.255 5.255 5.255 60.00 60.00 60.00
Fractional coordinates of all 6 atoms:
Zn (0.000, 0.000, 0.000)
Re (0.375, 0.375, 0.375)
Re (0.375, 0.375, 0.875)
Re (0.375, 0.875, 0.375)
Re (0.875, 0.375, 0.375)
Hg (0.750, 0.750, 0.750)

Compound: ZnReHg2
Source: Alexandria via LeMat-Bulk
Functional: GGA-PBE
Structure: relaxed

Calculated values
- Total moment: 0.77 μB per formula unit
- Crystal system: tetragonal
- Electronic total energy: -2.84 eV/atom

Lattice parameters (Å, degrees): 2.892 2.892 8.736 90.00 90.00 90.00
Fractional coordinates of all 4 atoms:
Zn (0.000, 0.000, 0.000)
Re (0.000, 0.000, 0.500)
Hg (0.500, 0.500, 0.250)
Hg (0.500, 0.500, 0.750)

Number 1: formation enthalpy at 0 K 0.81 eV/atom. Number 2: formation enthalpy at 0 K 0.75 eV/atom. Number 3: formation enthalpy at 0 K 0.74 eV/atom.